No. 1
# Cs2BaBi2 GGA-PBE optimized geometry
data_Cs2BaBi2
_space_group_name_H-M_alt 'P 4/m b m'
_space_group_IT_number 127
_space_group_name_Hall '-P 4 2ab'
_cell_length_a 9.0967
_cell_length_b 9.0967
_cell_length_c 6.3699
_cell_angle_alpha 90.00
_cell_angle_beta 90.00
_cell_angle_gamma 90.00
loop_
_atom_site_label
_atom_site_fract_x
_atom_site_fract_y
_atom_site_fract_z
Cs1 0.1598 0.3402 0.0000
Ba1 0.0000 0.0000 0.5000
Bi1 0.1215 0.6215 0.5000
# - Formation energy: -0.4323 eV/atom
# - E above lowest polymorph: 0.00 eV/f.u.


No. 2
# Li3Cd2GeO6 GGA-PBE optimized geometry
data_Li3Cd2GeO6
_space_group_name_H-M_alt 'C 1 2/m 1'
_space_group_IT_number 12
_space_group_name_Hall '-C 2y'
_cell_length_a 5.4793
_cell_length_b 9.7010
_cell_length_c 5.2734
_cell_angle_alpha 90.00
_cell_angle_beta 109.12
_cell_angle_gamma 90.00
loop_
_atom_site_label
_atom_site_fract_x
_atom_site_fract_y
_atom_site_fract_z
Li1 0.0000 0.0000 0.0000
Li2 0.0000 0.3639 0.0000
Cd1 0.0000 0.1702 0.5000
Ge1 0.0000 0.5000 0.5000
O1 0.2120 0.3607 0.7367
O2 0.2193 0.5000 0.2747
# - Formation energy (no corrections): -141.1 kJ/mol of atoms


No. 3
# AcPr3Dy7 GGA-PBE optimized geometry
data_AcPr3Dy7
_space_group_name_H-M_alt 'P 3 m 1'
_space_group_IT_number 156
_space_group_name_Hall 'P 3 -2"'
_cell_length_a 7.1604
_cell_length_b 7.1604
_cell_length_c 8.8506
_cell_angle_alpha 90.00
_cell_angle_beta 90.00
_cell_angle_gamma 120.00
loop_
_atom_site_label
_atom_site_fract_x
_atom_site_fract_y
_atom_site_fract_z
Ac1 0.0000 0.0000 0.0000
Pr1 0.1678 0.3356 0.3439
Dy1 0.0018 0.5009 0.0006
Dy2 0.3333 0.6667 0.6806
Dy3 0.3347 0.1673 0.6742
# - Formation energy: 0.1934 eV/atom
# - E above lowest polymorph: 0.00 eV/f.u.


No. 4
# LiZnGeO GGA-PBE optimized geometry
data_LiZnGeO
_space_group_name_H-M_alt 'P 1'
_space_group_IT_number 1
_space_group_name_Hall 'P 1'
_cell_length_a 2.9272
_cell_length_b 3.0493
_cell_length_c 7.0542
_cell_angle_alpha 87.24
_cell_angle_beta 78.11
_cell_angle_gamma 61.97
loop_
_atom_site_label
_atom_site_fract_x
_atom_site_fract_y
_atom_site_fract_z
Li1 0.0000 0.0000 0.0000
Zn1 0.1607 0.3697 0.3076
Ge1 0.5430 0.2857 0.6351
O1 0.5846 0.6873 0.1429
# - E above lowest polymorph: 0.00 eV/f.u.
# - Formation energy (no corrections): -84.9 kJ/mol of atoms


No. 5
# La3AlZn GGA-PBE optimized geometry
data_La3AlZn
_space_group_name_H-M_alt 'P m -3 m'
_space_group_IT_number 221
_space_group_name_Hall '-P 4 2 3'
_cell_length_a 5.6314
_cell_length_b 5.6314
_cell_length_c 5.6314
_cell_angle_alpha 90.00
_cell_angle_beta 90.00
_cell_angle_gamma 90.00
loop_
_atom_site_label
_atom_site_fract_x
_atom_site_fract_y
_atom_site_fract_z
La1 0.0000 0.0000 0.5000
Al1 0.5000 0.5000 0.5000
Zn1 0.0000 0.0000 0.0000
# - Formation energy: 0.2362 eV/atom
# - E above lowest polymorph: 2.47 eV/f.u.


No. 6
# RbTcAs2Br GGA-PBE optimized geometry
data_RbTcAs2Br
_space_group_name_H-M_alt 'P 4/m m m'
_space_group_IT_number 123
_space_group_name_Hall '-P 4 2'
_cell_length_a 5.7028
_cell_length_b 5.7028
_cell_length_c 5.8567
_cell_angle_alpha 90.00
_cell_angle_beta 90.00
_cell_angle_gamma 90.00
loop_
_atom_site_label
_atom_site_fract_x
_atom_site_fract_y
_atom_site_fract_z
Rb1 0.0000 0.0000 0.0000
Tc1 0.5000 0.5000 0.5000
As1 0.0000 0.5000 0.0000
Br1 0.0000 0.0000 0.5000
# - E above lowest polymorph: 10.25 eV/f.u.
# - Formation energy (no corrections): 176.9 kJ/mol of atoms


No. 7
# TbPaSi3 GGA-PBE optimized geometry
data_TbPaSi3
_space_group_name_H-M_alt 'C m c m'
_space_group_IT_number 63
_space_group_name_Hall '-C 2c 2'
_cell_length_a 4.0857
_cell_length_b 24.4801
_cell_length_c 3.9808
_cell_angle_alpha 90.00
_cell_angle_beta 90.00
_cell_angle_gamma 90.00
loop_
_atom_site_label
_atom_site_fract_x
_atom_site_fract_y
_atom_site_fract_z
Tb1 0.0000 0.2027 0.2500
Pa1 0.0000 0.0697 0.7500
Si1 0.0000 0.3258 0.2500
Si2 0.0000 0.3824 0.7500
Si3 0.0000 0.4758 0.7500
# - Formation energy (no corrections): -60.4 kJ/mol of atoms


No. 8
# CeTl2Au GGA-PBE optimized geometry
data_CeTl2Au
_space_group_name_H-M_alt 'I 4/m m m'
_space_group_IT_number 139
_space_group_name_Hall '-I 4 2'
_cell_length_a 4.9360
_cell_length_b 4.9360
_cell_length_c 17.1029
_cell_angle_alpha 90.00
_cell_angle_beta 90.00
_cell_angle_gamma 90.00
loop_
_atom_site_label
_atom_site_fract_x
_atom_site_fract_y
_atom_site_fract_z
Ce1 0.0000 0.0000 0.1407
Tl1 0.0000 0.0000 0.3598
Tl2 0.0000 0.5000 0.0000
Au1 0.0000 0.5000 0.2500
# - Formation energy: -0.3718 eV/atom
# - E above lowest polymorph: 0.00 eV/f.u.


No. 9
# VBi2HPd GGA-PBE optimized geometry
data_VBi2HPd
_space_group_name_H-M_alt 'P 4/m m m'
_space_group_IT_number 123
_space_group_name_Hall '-P 4 2'
_cell_length_a 5.3616
_cell_length_b 5.3616
_cell_length_c 4.8227
_cell_angle_alpha 90.00
_cell_angle_beta 90.00
_cell_angle_gamma 90.00
loop_
_atom_site_label
_atom_site_fract_x
_atom_site_fract_y
_atom_site_fract_z
V1 0.0000 0.0000 0.0000
Bi1 0.0000 0.5000 0.5000
H1 0.5000 0.5000 0.0000
Pd1 0.0000 0.0000 0.5000
# - Total DFT energy (no corrections): -0.1406 Ha/atom


No. 10
# TbCe3Tm2As6 GGA-PBE optimized geometry
data_TbCe3Tm2As6
_space_group_name_H-M_alt 'C 1 2/m 1'
_space_group_IT_number 12
_space_group_name_Hall '-C 2y'
_cell_length_a 7.1992
_cell_length_b 12.4691
_cell_length_c 7.1806
_cell_angle_alpha 90.00
_cell_angle_beta 109.53
_cell_angle_gamma 90.00
loop_
_atom_site_label
_atom_site_fract_x
_atom_site_fract_y
_atom_site_fract_z
Tb1 0.0000 0.0000 0.0000
Ce1 0.0000 0.1660 0.5000
Ce2 0.0000 0.5000 0.5000
Tm1 0.0000 0.3331 0.0000
As1 0.2449 0.5000 0.2430
As2 0.2493 0.1680 0.2437
# - Formation energy: -1.4690 eV/atom


No. 11
# Sb3Rh GGA-PBE optimized geometry
data_Sb3Rh
_space_group_name_H-M_alt 'P m -3 m'
_space_group_IT_number 221
_space_group_name_Hall '-P 4 2 3'
_cell_length_a 4.5163
_cell_length_b 4.5163
_cell_length_c 4.5163
_cell_angle_alpha 90.00
_cell_angle_beta 90.00
_cell_angle_gamma 90.00
loop_
_atom_site_label
_atom_site_fract_x
_atom_site_fract_y
_atom_site_fract_z
Sb1 0.0000 0.0000 0.5000
Rh1 0.5000 0.5000 0.5000
# - E above lowest polymorph: 2.73 eV/f.u.
# - Formation energy (no corrections): 26.9 kJ/mol of atoms


No. 12
# BaSn5Se7 GGA-PBE optimized geometry
data_BaSn5Se7
_space_group_name_H-M_alt 'C m c m'
_space_group_IT_number 63
_space_group_name_Hall '-C 2c 2'
_cell_length_a 4.2845
_cell_length_b 13.9238
_cell_length_c 25.0575
_cell_angle_alpha 90.00
_cell_angle_beta 90.00
_cell_angle_gamma 90.00
loop_
_atom_site_label
_atom_site_fract_x
_atom_site_fract_y
_atom_site_fract_z
Ba1 0.0000 0.2051 0.2500
Sn1 0.0000 0.0000 0.0000
Sn2 0.0000 0.2711 0.5734
Sn3 0.0000 0.4615 0.1471
Se1 0.0000 0.1031 0.1079
Se2 0.0000 0.1733 0.6703
Se3 0.0000 0.3653 0.0363
Se4 0.0000 0.4696 0.7500
# - Formation energy (no corrections): -63.7 kJ/mol of atoms


No. 13
# NiPtBr3 GGA-PBE optimized geometry
data_NiPtBr3
_space_group_name_H-M_alt 'P m -3 m'
_space_group_IT_number 221
_space_group_name_Hall '-P 4 2 3'
_cell_length_a 4.8662
_cell_length_b 4.8662
_cell_length_c 4.8662
_cell_angle_alpha 90.00
_cell_angle_beta 90.00
_cell_angle_gamma 90.00
loop_
_atom_site_label
_atom_site_fract_x
_atom_site_fract_y
_atom_site_fract_z
Ni1 0.0000 0.0000 0.0000
Pt1 0.5000 0.5000 0.5000
Br1 0.0000 0.0000 0.5000
# - E above lowest polymorph: 0.30 eV/f.u.
# - Formation energy (no corrections): 60.3 kJ/mol of atoms


No. 14
# La7Pm3Nd2 GGA-PBE optimized geometry
data_La7Pm3Nd2
_space_group_name_H-M_alt 'P 1 2/m 1'
_space_group_IT_number 10
_space_group_name_Hall '-P 2y'
_cell_length_a 5.9853
_cell_length_b 3.6682
_cell_length_c 19.9980
_cell_angle_alpha 90.00
_cell_angle_beta 98.43
_cell_angle_gamma 90.00
loop_
_atom_site_label
_atom_site_fract_x
_atom_site_fract_y
_atom_site_fract_z
La1 0.0000 0.0000 0.0000
La2 0.0937 0.5000 0.1862
La3 0.2675 0.5000 0.5355
La4 0.4264 0.0000 0.8547
Pm1 0.1838 0.0000 0.3674
Pm2 0.5000 0.5000 0.0000
Nd1 0.3508 0.5000 0.7024
# - Formation energy: 0.0852 eV/atom
# - E above lowest polymorph: 0.32 eV/f.u.


No. 15
# YScB2As GGA-PBE optimized geometry
data_YScB2As
_space_group_name_H-M_alt 'P 4/m m m'
_space_group_IT_number 123
_space_group_name_Hall '-P 4 2'
_cell_length_a 4.4066
_cell_length_b 4.4066
_cell_length_c 4.9082
_cell_angle_alpha 90.00
_cell_angle_beta 90.00
_cell_angle_gamma 90.00
loop_
_atom_site_label
_atom_site_fract_x
_atom_site_fract_y
_atom_site_fract_z
Y1 0.0000 0.0000 0.0000
Sc1 0.5000 0.5000 0.5000
B1 0.0000 0.5000 0.5000
As1 0.5000 0.5000 0.0000
# - Formation energy: 0.5449 eV/atom


No. 16
# ZrRu2Pt GGA-PBE optimized geometry
data_ZrRu2Pt
_space_group_name_H-M_alt 'I -4 2 d'
_space_group_IT_number 122
_space_group_name_Hall 'I -4 2bw'
_cell_length_a 3.9294
_cell_length_b 3.9294
_cell_length_c 18.5870
_cell_angle_alpha 90.00
_cell_angle_beta 90.00
_cell_angle_gamma 90.00
loop_
_atom_site_label
_atom_site_fract_x
_atom_site_fract_y
_atom_site_fract_z
Zr1 0.0000 0.0000 0.0000
Ru1 0.1937 0.2500 0.6250
Pt1 0.0000 0.0000 0.5000
# - Formation energy: 0.0362 eV/atom


No. 17
# Na2BPS4 GGA-PBE optimized geometry
data_Na2BPS4
_space_group_name_H-M_alt 'I -4'
_space_group_IT_number 82
_space_group_name_Hall 'I -4'
_cell_length_a 6.4064
_cell_length_b 6.4064
_cell_length_c 8.0799
_cell_angle_alpha 90.00
_cell_angle_beta 90.00
_cell_angle_gamma 90.00
loop_
_atom_site_label
_atom_site_fract_x
_atom_site_fract_y
_atom_site_fract_z
Na1 0.0000 0.0000 0.0000
Na2 0.0000 0.5000 0.2500
B1 0.0000 0.5000 0.7500
P1 0.0000 0.0000 0.5000
S1 0.1604 0.2991 0.6228
# - Formation energy (no corrections): -43.0 kJ/mol of atoms


No. 18
# Li4SnAu2 GGA-PBE optimized geometry
data_Li4SnAu2
_space_group_name_H-M_alt 'I 4/m m m'
_space_group_IT_number 139
_space_group_name_Hall '-I 4 2'
_cell_length_a 4.9703
_cell_length_b 4.9703
_cell_length_c 13.2894
_cell_angle_alpha 90.00
_cell_angle_beta 90.00
_cell_angle_gamma 90.00
loop_
_atom_site_label
_atom_site_fract_x
_atom_site_fract_y
_atom_site_fract_z
Li1 0.0000 0.0000 0.2038
Li2 0.0000 0.5000 0.0000
Sn1 0.0000 0.0000 0.0000
Au1 0.0000 0.0000 0.3957
# - Formation energy: -0.0290 eV/atom
# - E above lowest polymorph: 2.31 eV/f.u.


No. 19
# Ge2BSe6 GGA-PBE optimized geometry
data_Ge2BSe6
_space_group_name_H-M_alt 'C 1 2/c 1'
_space_group_IT_number 15
_space_group_name_Hall '-C 2yc'
_cell_length_a 12.1766
_cell_length_b 13.3581
_cell_length_c 6.4145
_cell_angle_alpha 90.00
_cell_angle_beta 113.85
_cell_angle_gamma 90.00
loop_
_atom_site_label
_atom_site_fract_x
_atom_site_fract_y
_atom_site_fract_z
Ge1 0.2185 0.0835 0.4097
B1 0.0000 0.2961 0.2500
Se1 0.0766 0.3864 0.5386
Se2 0.1156 0.2179 0.1512
Se3 0.1620 0.0782 0.7278
# - Formation energy (no corrections): -10.1 kJ/mol of atoms